Entry from the Alexandria database: crystalline CsYCuO3 at its relaxed geometry (GGA-PBE).

Values from the calculation:
ΔE_f (raw)	-1.928	eV per atom
space group	P2_1/m
DOS(E_F)	1.18	states/eV/cell
final energy	-6.3095	eV/atom

Unit cell a=3.6550 b=7.9580 c=9.0419 alpha=112.02 beta=90.00 gamma=90.00
Fractional coordinates of all 12 atoms:
Cs  0.7500  0.7856  0.7886
Cs  0.2500  0.2144  0.2114
O  0.7500  0.8584  0.1427
O  0.2500  0.8793  0.4029
O  0.2500  0.1416  0.8573
O  0.7500  0.4808  0.1271
O  0.2500  0.5192  0.8729
O  0.7500  0.1207  0.5971
Cu  0.2500  0.0492  0.6265
Cu  0.7500  0.9508  0.3735
Y  0.2500  0.6691  0.1366
Y  0.7500  0.3309  0.8634